No. 1
Material: NbVF2
Method: DFT, PBE+U
State: relaxed

Values from the calculation:
Its total energy is -6.10 eV/atom. As for the excess energy over the best structure of this formula in the dataset: 1.62 eV per formula unit.

Geometry as CIF:
```
data_NbVF2
_chemical_formula_sum 'Nb4 V4 F8'
_cell_length_a 3.8871
_cell_length_b 3.8871
_cell_length_c 15.0116
_cell_angle_alpha 90.00
_cell_angle_beta 90.00
_cell_angle_gamma 90.00
_symmetry_space_group_name_H-M 'I -4 2 d'
_symmetry_Int_Tables_number 122
_symmetry_space_group_name_Hall 'I -4 2bw'
loop_
_atom_site_label
_atom_site_fract_x
_atom_site_fract_y
_atom_site_fract_z
_atom_site_occupancy
Nb1 0.0000 0.0000 0.0000 1
V1 0.0000 0.0000 0.5000 1
F1 0.2123 0.2500 0.1250 1
```

No. 2
Material: FeAs2F
Method: DFT, PBE+U
State: relaxed

Values from the calculation:
Its total energy is -4.43 eV/atom. As for the excess energy over the best structure of this formula in the dataset: 0.00 eV per formula unit.

Geometry as CIF:
```
data_FeAs2F
_chemical_formula_sum 'Fe4 As8 F4'
_cell_length_a 3.7761
_cell_length_b 3.7761
_cell_length_c 19.2929
_cell_angle_alpha 90.00
_cell_angle_beta 90.00
_cell_angle_gamma 90.00
_symmetry_space_group_name_H-M 'I -4 2 d'
_symmetry_Int_Tables_number 122
_symmetry_space_group_name_Hall 'I -4 2bw'
loop_
_atom_site_label
_atom_site_fract_x
_atom_site_fract_y
_atom_site_fract_z
_atom_site_occupancy
Fe1 0.0000 0.0000 0.0000 1
As1 0.2110 0.2500 0.1250 1
F1 0.0000 0.0000 0.5000 1
```